AsPd7 | PBE | relaxed

Cell lengths 2.7946, 2.7946, 40.4661 Å; angles 90.00, 90.00, 90.00 degrees
Sites, in units of the cell vectors:
As 0.2500 0.2500 0.1424
As 0.7500 0.7500 0.8576
Pd 0.2500 0.2500 0.2351
Pd 0.2500 0.2500 0.3325
Pd 0.2500 0.2500 0.4284
Pd 0.2500 0.2500 0.5239
Pd 0.2500 0.2500 0.6195
Pd 0.2500 0.2500 0.7159
Pd 0.2500 0.2500 0.8152
Pd 0.7500 0.7500 0.1848
Pd 0.7500 0.7500 0.2841
Pd 0.7500 0.7500 0.3805
Pd 0.7500 0.7500 0.4761
Pd 0.7500 0.7500 0.5716
Pd 0.7500 0.7500 0.6675
Pd 0.7500 0.7500 0.7649

Values from the calculation:
Its final energy is -82.19 eV/cell. As for the crystal system: tetragonal.


AsPd15 | PBE | relaxed

Cell lengths 5.4952, 2.7841, 44.3210 Å; angles 90.00, 90.01, 90.00 degrees
Sites, in units of the cell vectors:
As 0.1249 0.2500 0.3284
As 0.8751 0.7500 0.6716
Pd 0.1245 0.2500 0.7095
Pd 0.1250 0.2500 0.0664
Pd 0.1250 0.2500 0.1550
Pd 0.1250 0.2500 0.2444
Pd 0.1246 0.2500 0.8004
Pd 0.1250 0.2500 0.8893
Pd 0.1250 0.2500 0.9778
Pd 0.3744 0.7500 0.2905
Pd 0.3750 0.7500 0.0222
Pd 0.3750 0.7500 0.1107
Pd 0.3746 0.7500 0.1996
Pd 0.3749 0.7500 0.6638
Pd 0.3750 0.7500 0.7553
Pd 0.3750 0.7500 0.8449
Pd 0.3750 0.7500 0.9335
Pd 0.6250 0.2500 0.0665
Pd 0.6250 0.2500 0.1551
Pd 0.6250 0.2500 0.2447
Pd 0.6251 0.2500 0.3362
Pd 0.6254 0.2500 0.8004
Pd 0.6250 0.2500 0.8893
Pd 0.6250 0.2500 0.9778
Pd 0.6256 0.2500 0.7095
Pd 0.8750 0.7500 0.0222
Pd 0.8750 0.7500 0.1107
Pd 0.8754 0.7500 0.1996
Pd 0.8750 0.7500 0.7556
Pd 0.8750 0.7500 0.8450
Pd 0.8750 0.7500 0.9336
Pd 0.8755 0.7500 0.2905

Values from the calculation:
Its final energy is -164.52 eV/cell. The value obtained for the relative energy among the computed polymorphs is 25 meV/atom. As for the crystal system: monoclinic.